Below is an optimized crystal structure of HfMg6WO8, with properties calculated at the PBE with a Hubbard U level.

V   10.7 Å³ per atom
Relative energy among the computed polymorphs   0 meV per atom

Structure (CIF):
```
data_HfMg6WO8
_chemical_formula_sum 'Hf1 Mg6 W1 O8'
_cell_length_a 4.403
_cell_length_b 4.403
_cell_length_c 8.844
_cell_angle_alpha 90.00
_cell_angle_beta 90.00
_cell_angle_gamma 90.00
_space_group_name_H-M_alt 'P 4/m m m'
_space_group_IT_number 123
_space_group_name_Hall '-P 4 2'
loop_
_atom_site_label
_atom_site_type_symbol
_atom_site_fract_x
_atom_site_fract_y
_atom_site_fract_z
Hf1 Hf 0.000 0.000 0.000
Mg1 Mg 0.000 0.000 0.500
Mg2 Mg 0.000 0.500 0.262
Mg3 Mg 0.500 0.500 0.500
W1 W 0.500 0.500 0.000
O1 O 0.000 0.000 0.260
O2 O 0.000 0.500 0.000
O3 O 0.000 0.500 0.500
O4 O 0.500 0.500 0.262
```